[1]
ZrBeTlCu | PBE-GGA | optimized geometry

total DFT energy (no corrections): -4.257 eV per atom
total moment: 0.000 μB per cell
space group: F-43m

```
data_ZrBeTlCu
_chemical_formula_sum 'Zr1 Be1 Tl1 Cu1'
_cell_length_a 4.606
_cell_length_b 4.606
_cell_length_c 4.606
_cell_angle_alpha 60.00
_cell_angle_beta 60.00
_cell_angle_gamma 60.00
_space_group_name_H-M_alt 'P 1'
_space_group_IT_number 1
loop_
_space_group_symop_operation_xyz
'x,y,z'
loop_
_atom_site_label
_atom_site_type_symbol
_atom_site_fract_x
_atom_site_fract_y
_atom_site_fract_z
_atom_site_occupancy
Zr1 Zr 0.000 0.000 0.000 1
Be1 Be 0.750 0.750 0.750 1
Tl1 Tl 0.250 0.250 0.250 1
Cu1 Cu 0.500 0.500 0.500 1
```



[2]
LiAl2AgSe4 | PBE-GGA | optimized geometry

total DFT energy (no corrections): -4.133 eV per atom
space group: I-4

```
data_LiAl2AgSe4
_chemical_formula_sum 'Li1 Al2 Ag1 Se4'
_cell_length_a 6.931
_cell_length_b 6.931
_cell_length_c 6.931
_cell_angle_alpha 129.09
_cell_angle_beta 129.09
_cell_angle_gamma 74.87
_space_group_name_H-M_alt 'P 1'
_space_group_IT_number 1
loop_
_space_group_symop_operation_xyz
'x,y,z'
loop_
_atom_site_label
_atom_site_type_symbol
_atom_site_fract_x
_atom_site_fract_y
_atom_site_fract_z
_atom_site_occupancy
Li1 Li 0.000 0.000 0.000 1
Al1 Al 0.250 0.750 0.500 1
Al2 Al 0.500 0.500 0.000 1
Ag1 Ag 0.750 0.250 0.500 1
Se1 Se 0.158 0.121 0.521 1
Se2 Se 0.363 0.842 0.963 1
Se3 Se 0.600 0.637 0.479 1
Se4 Se 0.879 0.400 0.037 1
```



[3]
Os2O3F2 | PBE-GGA | optimized geometry

total DFT energy (no corrections): -6.947 eV per atom
total moment: 0.008 μB per cell
space group: P-1

```
data_Os2O3F2
_chemical_formula_sum 'Os4 O6 F4'
_cell_length_a 4.849
_cell_length_b 5.401
_cell_length_c 6.742
_cell_angle_alpha 109.22
_cell_angle_beta 110.70
_cell_angle_gamma 91.06
_space_group_name_H-M_alt 'P 1'
_space_group_IT_number 1
loop_
_space_group_symop_operation_xyz
'x,y,z'
loop_
_atom_site_label
_atom_site_type_symbol
_atom_site_fract_x
_atom_site_fract_y
_atom_site_fract_z
_atom_site_occupancy
Os1 Os 0.088 0.179 0.194 1
Os2 Os 0.403 0.299 0.817 1
Os3 Os 0.597 0.701 0.183 1
Os4 Os 0.912 0.821 0.806 1
O1 O 0.172 0.969 0.703 1
O2 O 0.212 0.826 0.101 1
O3 O 0.379 0.343 0.115 1
O4 O 0.621 0.657 0.885 1
O5 O 0.788 0.174 0.899 1
O6 O 0.828 0.031 0.297 1
F1 F 0.014 0.452 0.689 1
F2 F 0.416 0.245 0.501 1
F3 F 0.584 0.755 0.499 1
F4 F 0.986 0.548 0.311 1
```



[4]
LaNdCd6 | PBE-GGA | optimized geometry

total DFT energy (no corrections): -2.213 eV per atom
total moment: 0.005 μB per cell
space group: Pmm2
DFT formation energy: -255.5 kJ/mol of formula units

```
data_LaNdCd6
_chemical_formula_sum 'La1 Nd1 Cd6'
_cell_length_a 5.202
_cell_length_b 7.343
_cell_length_c 5.200
_cell_angle_alpha 90.00
_cell_angle_beta 90.00
_cell_angle_gamma 90.00
_space_group_name_H-M_alt 'P 1'
_space_group_IT_number 1
loop_
_space_group_symop_operation_xyz
'x,y,z'
loop_
_atom_site_label
_atom_site_type_symbol
_atom_site_fract_x
_atom_site_fract_y
_atom_site_fract_z
_atom_site_occupancy
La1 La 0.000 0.000 0.000 1
Nd1 Nd 0.500 0.500 0.506 1
Cd1 Cd 0.000 0.253 0.500 1
Cd2 Cd 0.000 0.500 0.001 1
Cd3 Cd 0.000 0.747 0.500 1
Cd4 Cd 0.500 0.000 0.505 1
Cd5 Cd 0.500 0.253 0.007 1
Cd6 Cd 0.500 0.747 0.007 1
```